# 1
First-principles (GGA-PBE) data for a geometry-optimized MgTiCu2 structure, as listed in Alexandria.

Results
**Size of the total moment**: 0.12 μB/atom
**Calculated formation energy**: -84 meV/atom
**DOS at the Fermi energy**: 2.98 states/eV per cell

abc: 3.098 3.098 6.344
angles: 90.00 90.00 90.00
Site moments in Bohr magnetons follow the coordinates.
Sites, in units of the cell vectors:
Cu: 0.000 0.000 0.229  0.03
Cu: 0.000 0.000 0.771  0.03
Mg: 0.500 0.500 0.500  0.00
Ti: 0.500 0.500 0.000  0.35



# 2
First-principles (GGA-PBE) data for a geometry-optimized AcNi4SnP2 structure, as listed in Alexandria.

Results
**Size of the total moment**: 0.00 μB/atom
**Calculated formation energy**: -585 meV/atom
**DOS at the Fermi energy**: 6.62 states/eV per cell

abc: 3.822 3.822 9.387
angles: 90.00 90.00 90.00
Sites, in units of the cell vectors:
Sn: 0.000 0.000 0.000
Ac: 0.000 0.000 0.500
Ni: 0.000 0.500 0.194
Ni: 0.500 0.000 0.194
Ni: 0.500 0.000 0.806
Ni: 0.000 0.500 0.806
P: 0.500 0.500 0.310
P: 0.500 0.500 0.690